Th3B2C6 | PBE-GGA | relaxed

Unit cell a=3.658 b=3.658 c=10.899 alpha=99.66 beta=99.66 gamma=90.00
Sites, in units of the cell vectors:
Th 0.000 0.000 0.000
Th 0.820 0.820 0.640
Th 0.180 0.180 0.360
B 0.379 0.379 0.758
B 0.621 0.621 0.242
C 0.087 0.587 0.174
C 0.587 0.087 0.174
C 0.913 0.413 0.826
C 0.413 0.913 0.826
C 0.695 0.695 0.391
C 0.305 0.305 0.609

Computed properties:
Space-group type: No. 139
VASP energy in eV per atom: -7.830
D(E_F) in states/eV/cell: 3.97

Sr2LiCd3Au4 | PBE-GGA | relaxed

Unit cell a=4.772 b=4.772 c=11.090 alpha=90.00 beta=90.00 gamma=90.00
Sites, in units of the cell vectors:
Sr 0.500 0.000 0.239
Sr 0.000 0.500 0.761
Li 0.500 0.500 0.500
Cd 0.000 0.000 0.500
Cd 0.500 0.000 0.870
Cd 0.000 0.500 0.130
Au 0.500 0.500 0.000
Au 0.000 0.000 0.000
Au 0.500 0.000 0.626
Au 0.000 0.500 0.374

Computed properties:
Space-group type: No. 115
VASP energy in eV per atom: -2.578
D(E_F) in states/eV/cell: 3.69

CaLa4Ru | PBE-GGA | relaxed

Unit cell a=6.276 b=7.320 c=9.414 alpha=90.00 beta=102.83 gamma=90.00
Sites, in units of the cell vectors:
Ca 0.291 0.750 0.558
Ca 0.709 0.250 0.442
La 0.717 0.750 0.319
La 0.283 0.250 0.681
La 0.380 0.750 0.945
La 0.620 0.250 0.055
La 0.147 0.011 0.200
La 0.853 0.511 0.800
La 0.147 0.489 0.200
La 0.853 0.989 0.800
Ru 0.833 0.750 0.049
Ru 0.167 0.250 0.951

Computed properties:
Space-group type: No. 11
D(E_F) in states/eV/cell: 17.47
E above lowest polymorph in eV/atom: 0.000

CeB3C | PBE-GGA | relaxed

Unit cell a=3.346 b=3.346 c=5.473 alpha=112.49 beta=112.49 gamma=87.34
Sites, in units of the cell vectors:
Ce 0.359 0.359 0.752
B 0.625 0.252 0.277
B 0.252 0.625 0.277
B 0.042 0.042 0.164
C 0.718 0.718 0.524

Computed properties:
Space-group type: No. 8
D(E_F) in states/eV/cell: 2.03
E above lowest polymorph in eV/atom: 0.433

TbPr3Nd6Tm2 | PBE-GGA | relaxed

Unit cell a=6.333 b=6.333 c=12.043 alpha=95.03 beta=95.03 gamma=120.02
Sites, in units of the cell vectors:
Tb 0.000 0.000 0.000
Pr 0.167 0.833 0.500
Pr 0.833 0.167 0.500
Pr 0.500 0.500 0.500
Nd 0.918 0.584 0.756
Nd 0.748 0.748 0.244
Nd 0.082 0.416 0.244
Nd 0.584 0.918 0.756
Nd 0.252 0.252 0.756
Nd 0.416 0.082 0.244
Tm 0.333 0.667 0.000
Tm 0.667 0.333 0.000

Computed properties:
Space-group type: No. 12
VASP energy in eV per atom: -4.692
D(E_F) in states/eV/cell: 16.53

Ho4Tm9In11 | PBE-GGA | relaxed

Unit cell a=3.422 b=13.670 c=13.670 alpha=99.51 beta=90.00 gamma=90.00
Sites, in units of the cell vectors:
Ho 0.500 0.570 0.736
Ho 0.500 0.430 0.264
Ho 0.500 0.736 0.570
Ho 0.500 0.264 0.430
Tm 0.500 0.624 0.144
Tm 0.500 0.376 0.856
Tm 0.500 0.144 0.624
Tm 0.500 0.856 0.376
Tm 0.500 0.792 0.971
Tm 0.500 0.208 0.029
Tm 0.500 0.971 0.792
Tm 0.500 0.029 0.208
Tm 0.500 0.500 0.500
In 0.000 0.582 0.936
In 0.000 0.418 0.064
In 0.000 0.936 0.582
In 0.000 0.064 0.418
In 0.000 0.638 0.362
In 0.000 0.362 0.638
In 0.000 0.828 0.172
In 0.000 0.172 0.828
In 0.000 0.000 0.000
In 0.000 0.771 0.771
In 0.000 0.229 0.229

Computed properties:
Space-group type: No. 65
VASP energy in eV per atom: -4.048
D(E_F) in states/eV/cell: 18.86

NdInPd3 | PBE-GGA | relaxed

Unit cell a=7.215 b=7.215 c=7.215 alpha=79.54 beta=131.99 gamma=120.84
Sites, in units of the cell vectors:
Nd 0.064 0.814 0.750
Nd 0.936 0.186 0.250
In 0.500 0.500 0.000
In 0.500 0.000 0.500
Pd 0.500 0.371 0.371
Pd 0.000 0.629 0.129
Pd 0.500 0.629 0.629
Pd 0.000 0.371 0.871
Pd 0.521 0.771 0.250
Pd 0.479 0.229 0.750

Computed properties:
Space-group type: No. 74
VASP energy in eV per atom: -5.113
D(E_F) in states/eV/cell: 5.12

Te2SeBr | PBE-GGA | relaxed

Unit cell a=4.200 b=4.200 c=8.322 alpha=86.02 beta=86.02 gamma=57.86
Sites, in units of the cell vectors:
Br 0.750 0.750 0.750
Se 0.250 0.250 0.250
Te 0.932 0.932 0.042
Te 0.568 0.568 0.458

Computed properties:
Raw formation energy in kJ/mol of formula units: 25.6
Space-group type: No. 12
D(E_F) in states/eV/cell: 1.37
E above lowest polymorph in eV/atom: 0.127

Tm3PaIr4 | PBE-GGA | relaxed

Unit cell a=4.845 b=4.845 c=7.615 alpha=108.56 beta=108.55 gamma=90.00
Sites, in units of the cell vectors:
Tm 0.000 0.500 0.000
Tm 0.752 0.252 0.505
Tm 0.248 0.748 0.495
Pa 0.500 0.000 0.000
Ir 0.379 0.379 0.758
Ir 0.621 0.621 0.242
Ir 0.121 0.121 0.242
Ir 0.879 0.879 0.758

Computed properties:
Space-group type: No. 139
VASP energy in eV per atom: -8.162
D(E_F) in states/eV/cell: 4.61

La3Sm4In2 | PBE-GGA | relaxed

Unit cell a=6.523 b=9.621 c=9.621 alpha=91.58 beta=85.99 gamma=85.99
Sites, in units of the cell vectors:
La 0.913 0.040 0.176
La 0.587 0.824 0.960
La 0.087 0.960 0.824
La 0.413 0.176 0.040
La 0.250 0.533 0.467
La 0.750 0.467 0.533
Sm 0.424 0.892 0.327
Sm 0.076 0.673 0.108
Sm 0.576 0.108 0.673
Sm 0.924 0.327 0.892
Sm 0.082 0.176 0.516
Sm 0.418 0.484 0.824
Sm 0.918 0.824 0.484
Sm 0.582 0.516 0.176
In 0.541 0.222 0.363
In 0.959 0.637 0.778
In 0.459 0.778 0.637
In 0.041 0.363 0.222

Computed properties:
Space-group type: No. 15
VASP energy in eV per atom: -4.477
D(E_F) in states/eV/cell: 24.43

La2RePb | PBE-GGA | relaxed

Unit cell a=8.646 b=8.646 c=6.837 alpha=50.78 beta=50.78 gamma=90.00
Sites, in units of the cell vectors:
Pb 0.000 0.000 0.000
Pb 0.750 0.250 0.500
Re 0.500 0.500 0.000
Re 0.250 0.750 0.500
La 0.556 0.125 0.250
La 0.194 0.625 0.250
La 0.375 0.444 0.750
La 0.875 0.806 0.750

Computed properties:
Space-group type: No. 122
VASP energy in eV per atom: -6.225
D(E_F) in states/eV/cell: 8.89

CsSr4Li2 | PBE-GGA | relaxed

Unit cell a=6.692 b=6.692 c=9.597 alpha=69.60 beta=69.60 gamma=90.00
Sites, in units of the cell vectors:
Cs 0.000 0.000 0.000
Sr 0.768 0.768 0.464
Sr 0.232 0.232 0.536
Sr 0.000 0.500 0.000
Sr 0.500 0.000 0.000
Li 0.577 0.577 0.845
Li 0.423 0.423 0.155

Computed properties:
Space-group type: No. 139
VASP energy in eV per atom: -1.085
D(E_F) in states/eV/cell: 10.52

BeB3As | PBE-GGA | relaxed

Unit cell a=3.764 b=3.764 c=3.764 alpha=90.00 beta=90.00 gamma=90.00
Sites, in units of the cell vectors:
Be 0.000 0.000 0.000
As 0.500 0.500 0.500
B 0.000 0.500 0.000
B 0.000 0.000 0.500
B 0.500 0.000 0.000

Computed properties:
Space-group type: No. 221
D(E_F) in states/eV/cell: 1.03
E above lowest polymorph in eV/atom: 0.000

Ac2BeZn2Pt4 | PBE-GGA | relaxed

Unit cell a=6.315 b=6.315 c=6.315 alpha=95.51 beta=116.87 gamma=116.87
Sites, in units of the cell vectors:
Ac 0.500 0.750 0.250
Ac 0.500 0.250 0.750
Be 0.000 0.000 0.000
Zn 0.000 0.654 0.654
Zn 0.000 0.346 0.346
Pt 0.000 0.754 0.246
Pt 0.509 0.754 0.754
Pt 0.000 0.246 0.754
Pt 0.491 0.246 0.246

Computed properties:
Space-group type: No. 139
VASP energy in eV per atom: -5.002
D(E_F) in states/eV/cell: 3.61

K4NpPa3O12 | PBE-GGA | relaxed

Unit cell a=7.558 b=7.558 c=7.558 alpha=109.47 beta=109.47 gamma=109.47
Each line ends with the local moment (μB).
Sites, in units of the cell vectors:
K 0.500 0.500 0.500  0.00
K 0.000 0.000 0.500  0.00
K 0.500 0.000 0.000  0.00
K 0.000 0.500 0.000  0.00
Np 0.000 0.000 0.000  2.20
Pa 0.500 0.000 0.500  0.00
Pa 0.500 0.500 0.000  0.00
Pa 0.000 0.500 0.500  0.00
O 0.250 0.500 0.750  0.00
O 0.752 0.000 0.752  -0.04
O 0.248 0.000 0.248  -0.04
O 0.750 0.500 0.250  0.00
O 0.752 0.752 0.000  -0.04
O 0.248 0.248 0.000  -0.04
O 0.750 0.250 0.500  0.00
O 0.250 0.750 0.500  0.00
O 0.500 0.250 0.750  0.00
O 0.000 0.752 0.752  -0.04
O 0.500 0.750 0.250  0.00
O 0.000 0.248 0.248  -0.04

Computed properties:
Raw formation energy in kJ/mol of formula units: -5834.9
Space-group type: No. 229
D(E_F) in states/eV/cell: 8.24

Ca2TcBr | PBE-GGA | relaxed

Unit cell a=6.693 b=6.693 c=6.693 alpha=150.49 beta=136.71 gamma=53.26
Sites, in units of the cell vectors:
Ca 0.000 0.000 0.000
Ca 0.706 0.206 0.500
Tc 0.480 0.480 0.000
Br 0.315 0.815 0.500

Computed properties:
Raw formation energy in kJ/mol of formula units: 19.5
Space-group type: No. 44
D(E_F) in states/eV/cell: 1.70
E above lowest polymorph in eV/atom: 0.298

Ac8Ge2Pd | PBE-GGA | relaxed

Unit cell a=4.426 b=9.559 c=10.233 alpha=98.62 beta=102.49 gamma=90.00
Sites, in units of the cell vectors:
Ac 0.401 0.453 0.802
Ac 0.660 0.997 0.320
Ac 0.785 0.657 0.570
Ac 0.006 0.215 0.012
Ac 0.215 0.343 0.430
Ac 0.340 0.003 0.680
Ac 0.599 0.547 0.198
Ac 0.994 0.785 0.988
Ge 0.816 0.238 0.632
Ge 0.184 0.762 0.368
Pd 0.500 0.000 0.000

Computed properties:
Space-group type: No. 12
VASP energy in eV per atom: -4.668
D(E_F) in states/eV/cell: 11.86

Rb2AlBiBr6 | PBE-GGA | relaxed

Unit cell a=8.032 b=8.032 c=8.033 alpha=60.01 beta=60.01 gamma=90.00
Sites, in units of the cell vectors:
Br 0.261 0.261 0.478
Br 0.739 0.739 0.522
Br 0.261 0.261 0.000
Br 0.739 0.739 0.000
Br 0.739 0.261 0.000
Br 0.261 0.739 0.000
Bi 0.000 0.000 0.000
Rb 0.750 0.250 0.500
Rb 0.250 0.750 0.500
Al 0.500 0.500 0.000

Computed properties:
Raw formation energy in kJ/mol of formula units: -1042.1
Space-group type: No. 225
D(E_F) in states/eV/cell: 0.80

Pm2BeAs | PBE-GGA | relaxed

Unit cell a=4.146 b=4.146 c=7.452 alpha=73.85 beta=73.85 gamma=60.00
Sites, in units of the cell vectors:
Be 0.500 0.500 0.500
As 0.000 0.000 0.000
Pm 0.747 0.747 0.760
Pm 0.253 0.253 0.240

Computed properties:
Space-group type: No. 166
D(E_F) in states/eV/cell: 5.08
E above lowest polymorph in eV/atom: 0.000

CdPHO3 | PBE-GGA | relaxed

Unit cell a=8.444 b=8.444 c=8.444 alpha=109.22 beta=109.22 gamma=109.22
Sites, in units of the cell vectors:
Cd 0.823 0.143 0.316
Cd 0.316 0.823 0.143
Cd 0.143 0.316 0.823
Cd 0.177 0.857 0.684
Cd 0.684 0.177 0.857
Cd 0.857 0.684 0.177
P 0.119 0.475 0.265
P 0.265 0.119 0.475
P 0.475 0.265 0.119
P 0.881 0.525 0.735
P 0.735 0.881 0.525
P 0.525 0.735 0.881
H 0.268 0.476 0.406
H 0.406 0.268 0.476
H 0.476 0.406 0.268
H 0.732 0.524 0.594
H 0.594 0.732 0.524
H 0.524 0.594 0.732
O 0.943 0.271 0.156
O 0.156 0.943 0.271
O 0.271 0.156 0.943
O 0.057 0.729 0.844
O 0.844 0.057 0.729
O 0.729 0.844 0.057
O 0.081 0.631 0.375
O 0.375 0.081 0.631
O 0.631 0.375 0.081
O 0.919 0.369 0.625
O 0.625 0.919 0.369
O 0.369 0.625 0.919
O 0.189 0.520 0.130
O 0.130 0.189 0.520
O 0.520 0.130 0.189
O 0.811 0.480 0.870
O 0.870 0.811 0.480
O 0.480 0.870 0.811

Computed properties:
Space-group type: No. 148
VASP energy in eV per atom: -5.603
D(E_F) in states/eV/cell: 0.00

LaRe2W | PBE-GGA | relaxed

Unit cell a=3.139 b=3.139 c=7.813 alpha=90.00 beta=90.00 gamma=90.00
Sites, in units of the cell vectors:
La 0.500 0.500 0.752
Re 0.000 0.000 0.060
Re 0.500 0.500 0.246
W 0.000 0.000 0.442

Computed properties:
Space-group type: No. 99
D(E_F) in states/eV/cell: 4.59
E above lowest polymorph in eV/atom: 0.122